1.
# Tc2HgRu

Crystalline Tc2HgRu at its relaxed geometry (GGA-PBE, Alexandria via LeMat-Bulk).

Cell: 2.824 2.824 7.975 Å, 90.00 90.00 90.00°
Fractional positions:
Tc1 0.000 0.000 0.000
Tc2 0.500 0.500 0.230
Hg1 0.000 0.000 0.509
Ru1 0.500 0.500 0.782

space group	P4mm
total energy	-7.254	eV per atom
total moment	0.000	μB/atom
calculated formation energy	7.5	kcal/mol of atoms
calculated volume	15.90	Å³/atom
calculated density	13.0	g/cm³


2.
# TmW4

Crystalline TmW4 at its relaxed geometry (GGA-PBE, Alexandria via LeMat-Bulk).

Cell: 4.670 4.670 4.670 Å, 90.00 90.00 90.00°
Fractional positions:
Tm1 0.000 0.000 0.000
W1 0.000 0.000 0.500
W2 0.000 0.500 0.000
W3 0.500 0.000 0.000
W4 0.500 0.500 0.500

space group	Pm-3m
total energy	-8.104	eV per atom
total moment	0.000	μB/atom
calculated formation energy	72.7	kcal/mol of atoms
calculated volume	20.37	Å³/atom
calculated density	14.7	g/cm³